The following is a DFT calculation (PBE) of a relaxed AcLaInPd crystal.

Calculated values
energy of formation from the pure elements: -0.501 eV/atom

Unit cell a=7.8116 b=7.8116 c=7.8116 alpha=90.00 beta=90.00 gamma=90.00
Space group F-43m (No. 216)
One atom of each set of equivalent atoms:
Ac1 0.0000 0.0000 0.0000 [4 per cell]
La1 0.0000 0.0000 0.5000 [4 per cell]
In1 0.2500 0.2500 0.2500 [4 per cell]
Pd1 0.2500 0.2500 0.7500 [4 per cell]



The following is a DFT calculation (PBE) of a relaxed AcLaPrIn crystal.

Calculated values
energy of formation from the pure elements: -0.112 eV/atom

Unit cell a=8.1750 b=8.1750 c=8.1750 alpha=90.00 beta=90.00 gamma=90.00
Space group F-43m (No. 216)
One atom of each set of equivalent atoms:
Ac1 0.0000 0.0000 0.0000 [4 per cell]
La1 0.2500 0.2500 0.7500 [4 per cell]
Pr1 0.2500 0.2500 0.2500 [4 per cell]
In1 0.0000 0.0000 0.5000 [4 per cell]



The following is a DFT calculation (PBE) of a relaxed AcLa2PrIn crystal.

Calculated values
energy of formation from the pure elements: 0.001 eV/atom

Unit cell a=6.9673 b=15.3088 c=7.0542 alpha=90.00 beta=90.00 gamma=90.00
Space group Cmcm (No. 63)
One atom of each set of equivalent atoms:
Ac1 0.0000 0.2479 0.2500 [4 per cell]
La1 0.2420 0.0000 0.0000 [8 per cell]
Pr1 0.0000 0.3494 0.7500 [4 per cell]
In1 0.0000 0.1499 0.7500 [4 per cell]



The following is a DFT calculation (PBE) of a relaxed AcLaPuIn crystal.

Calculated values
energy of formation from the pure elements: 0.057 eV/atom

Unit cell a=8.0478 b=8.0478 c=8.0478 alpha=90.00 beta=90.00 gamma=90.00
Space group F-43m (No. 216)
One atom of each set of equivalent atoms:
Ac1 0.0000 0.0000 0.0000 [4 per cell]
La1 0.2500 0.2500 0.2500 [4 per cell]
Pu1 0.2500 0.2500 0.7500 [4 per cell]
In1 0.0000 0.0000 0.5000 [4 per cell]



The following is a DFT calculation (PBE) of a relaxed AcLaInRh crystal.

Calculated values
energy of formation from the pure elements: -0.393 eV/atom

Unit cell a=7.7009 b=7.7009 c=7.7009 alpha=90.00 beta=90.00 gamma=90.00
Space group F-43m (No. 216)
One atom of each set of equivalent atoms:
Ac1 0.0000 0.0000 0.0000 [4 per cell]
La1 0.0000 0.0000 0.5000 [4 per cell]
In1 0.2500 0.2500 0.2500 [4 per cell]
Rh1 0.2500 0.2500 0.7500 [4 per cell]



The following is a DFT calculation (PBE) of a relaxed AcLa2InRh crystal.

Calculated values
energy of formation from the pure elements: -0.416 eV/atom

Unit cell a=5.5245 b=5.5245 c=5.7657 alpha=90.00 beta=90.00 gamma=90.00
Space group P4mm (No. 99)
One atom of each set of equivalent atoms:
Ac1 0.0000 0.0000 0.0000 [1 per cell]
La1 0.0000 0.5000 0.4996 [2 per cell]
In1 0.5000 0.5000 0.0015 [1 per cell]
Rh1 0.0000 0.0000 0.5001 [1 per cell]



no.,V (Å³/f.u.)
1,119
2,137
3,188
4,130
5,114
6,176